First-principles (PBE-GGA) data for Ca2SnHg6 after structural relaxation, as listed in Alexandria.

Cell: 6.1546 8.8793 8.4978 Å, 121.50 133.73 90.00°
Closest atoms and distances in Å follow each position.
Positions (direct):
1 Hg 0.8383 0.1689 0.6696  3 Hg 2.94-3.00
2 Hg 0.5000 0.1691 0.0000  3 Hg 2.94-3.00
3 Ca 0.6799 0.6788 0.3577  1 Sn 3.27, 12 Hg 3.36-3.46, 1 Ca 3.63
4 Hg 0.8383 0.5007 0.6696  3 Hg 2.94-3.00
5 Hg 0.5000 0.8309 0.0000  3 Hg 2.94-3.00
6 Ca 0.3201 0.3212 0.6424  1 Sn 3.27, 12 Hg 3.36-3.46, 1 Ca 3.63
7 Hg 0.1617 0.4993 0.3304  3 Hg 2.94-3.00
8 Hg 0.1617 0.8311 0.3304  3 Hg 2.94-3.00
9 Sn 0.0000 0.0000 0.0000  2 Ca 3.27, 12 Hg 3.41-3.43

N(E_F): 0.436 states/eV/atom
Crystal system: monoclinic
Relative energy among the computed polymorphs: 0 meV per atom
Energy of formation: -2.74 eV/f.u.
E: -1.396 eV/atom